Entry 1:
## CsTcBr3 (GGA-PBE)

Data for a relaxed CsTcBr3 crystal.

Cell: 6.469 6.469 6.469 Å, 90.00 90.00 90.00°
Space group Pm-3m (No. 221)
Symmetry-distinct sites (fractional):
1 Cs 0.000 0.000 0.000
2 Tc 0.500 0.500 0.500
3 Br 0.000 0.000 0.500

Energy relative to the elements, uncorrected   3.451 eV/f.u.
Electronic total energy   -2.5575 eV per atom

Entry 2:
## Cs2TcBr4 (GGA-PBE)

Data for a relaxed Cs2TcBr4 crystal.

Cell: 5.398 5.398 17.807 Å, 90.00 90.00 90.00°
Space group I4/mmm (No. 139)
Symmetry-distinct sites (fractional):
1 Cs 0.000 0.000 0.142
2 Tc 0.000 0.000 0.500
3 Br 0.000 0.000 0.350
4 Br 0.000 0.500 0.000

Energy relative to the elements, uncorrected   -6.770 eV/f.u.
Electronic total energy   -3.6479 eV per atom

Entry 3:
## CsTcBr3 (GGA-PBE)

Data for a relaxed CsTcBr3 crystal.

Cell: 17.836 8.570 5.214 Å, 90.00 104.13 90.00°
Space group C2/m (No. 12)
Symmetry-distinct sites (fractional):
1 Cs 0.169 0.000 0.158
2 Tc 0.044 0.500 0.686
3 Br 0.000 0.308 0.000
4 Br 0.143 0.296 0.634

Energy relative to the elements, uncorrected   -4.483 eV/f.u.
Electronic total energy   -4.1443 eV per atom

Entry 4:
## CsTcBr6 (GGA-PBE)

Data for a relaxed CsTcBr6 crystal.

Cell: 11.323 7.341 9.036 Å, 90.00 126.22 90.00°
Space group C2/m (No. 12)
Symmetry-distinct sites (fractional):
1 Cs 0.000 0.000 0.000
2 Tc 0.000 0.500 0.500
3 Br 0.132 0.258 0.742
4 Br 0.201 0.500 0.463

Energy relative to the elements, uncorrected   -5.412 eV/f.u.
Electronic total energy   -3.3337 eV per atom

Entry 5:
## CsTcBr3 (GGA-PBE)

Data for a relaxed CsTcBr3 crystal.

Cell: 5.419 5.419 5.419 Å, 90.00 90.00 90.00°
Space group Pm-3m (No. 221)
Symmetry-distinct sites (fractional):
1 Cs 0.000 0.000 0.000
2 Tc 0.500 0.500 0.500
3 Br 0.000 0.500 0.500

Energy relative to the elements, uncorrected   -3.167 eV/f.u.
Electronic total energy   -3.8810 eV per atom

Entry 6:
## CsTcBr2 (GGA-PBE)

Data for a relaxed CsTcBr2 crystal.

Cell: 7.583 7.583 7.583 Å, 90.00 90.00 90.00°
Space group Fm-3m (No. 225)
Symmetry-distinct sites (fractional):
1 Cs 0.000 0.000 0.000
2 Tc 0.000 0.000 0.500
3 Br 0.250 0.250 0.250

Energy relative to the elements, uncorrected   0.920 eV/f.u.
Electronic total energy   -3.4114 eV per atom

Entry 7:
## Cs3TcBr6 (GGA-PBE)

Data for a relaxed Cs3TcBr6 crystal.

Cell: 13.7075 13.7075 16.7240 Å, 90.00 90.00 120.00°
Space group R-3 (No. 148, hexagonal axes)
Symmetry-distinct sites (fractional):
1 Cs 0.0490 0.7780 0.2088
2 Tc 0.0000 0.0000 0.0000
3 Tc 0.0000 0.0000 0.5000
4 Br 0.0024 0.8477 0.4101
5 Br 0.0316 0.8629 0.9121

Energy relative to the elements, uncorrected   -11.731 eV/f.u.
Electronic total energy   -3.4695 eV per atom

Entry 8:
## CsTcBr6 (GGA-PBE)

Data for a relaxed CsTcBr6 crystal.

Cell: 12.281 12.281 12.281 Å, 90.00 90.00 90.00°
Space group Fm-3m (No. 225)
Symmetry-distinct sites (fractional):
1 Cs 0.000 0.000 0.000
2 Tc 0.000 0.000 0.500
3 Br 0.000 0.000 0.297

Energy relative to the elements, uncorrected   -4.804 eV/f.u.
Electronic total energy   -3.2576 eV per atom

Entry 9:
## Cs3TcBr (GGA-PBE)

Data for a relaxed Cs3TcBr crystal.

Cell: 5.876 5.876 5.876 Å, 90.00 90.00 90.00°
Space group Pm-3m (No. 221)
Symmetry-distinct sites (fractional):
1 Cs 0.000 0.000 0.500
2 Tc 0.000 0.000 0.000
3 Br 0.500 0.500 0.500

Energy relative to the elements, uncorrected   1.974 eV/f.u.
Electronic total energy   -2.5252 eV per atom

Entry 10:
## CsTc2Br (GGA-PBE)

Data for a relaxed CsTc2Br crystal.

Cell: 6.785 6.785 6.785 Å, 90.00 90.00 90.00°
Space group Fm-3m (No. 225)
Symmetry-distinct sites (fractional):
1 Cs 0.000 0.000 0.000
2 Tc 0.250 0.250 0.250
3 Br 0.000 0.000 0.500

Energy relative to the elements, uncorrected   7.877 eV/f.u.
Electronic total energy   -3.8455 eV per atom

Entry 11:
## Cs2TcBr6 (GGA-PBE)

Data for a relaxed Cs2TcBr6 crystal.

Cell: 11.050 11.050 11.050 Å, 90.00 90.00 90.00°
Space group Fm-3m (No. 225)
Symmetry-distinct sites (fractional):
1 Cs 0.250 0.250 0.250
2 Tc 0.000 0.000 0.000
3 Br 0.000 0.000 0.230

Energy relative to the elements, uncorrected   -9.951 eV/f.u.
Electronic total energy   -3.5624 eV per atom

Entry 12:
## Cs2TlTcBr6 (GGA-PBE)

Data for a relaxed Cs2TlTcBr6 crystal.

Cell: 8.109 11.477 8.128 Å, 90.00 90.00 90.00°
Space group Pmmn (No. 59, origin choice 2)
Symmetry-distinct sites (fractional):
1 Cs 0.250 0.001 0.249
2 Tl 0.250 0.250 0.748
3 Tc 0.250 0.750 0.752
4 Br 0.026 0.750 0.529
5 Br 0.026 0.750 0.975
6 Br 0.250 0.526 0.752

Energy relative to the elements, uncorrected   -10.115 eV/f.u.
Electronic total energy   -3.4591 eV per atom

Entry 13:
## Cs2VTcBr6 (GGA-PBE)

Data for a relaxed Cs2VTcBr6 crystal.

Cell: 10.938 10.938 10.938 Å, 90.00 90.00 90.00°
Space group Fm-3m (No. 225)
Symmetry-distinct sites (fractional):
1 Cs 0.250 0.250 0.250
2 V 0.000 0.000 0.000
3 Tc 0.000 0.000 0.500
4 Br 0.000 0.000 0.246

Energy relative to the elements, uncorrected   -8.926 eV/f.u.
Electronic total energy   -4.0154 eV per atom

Entry 14:
## Cs2ZrTcBr6 (GGA-PBE)

Data for a relaxed Cs2ZrTcBr6 crystal.

Cell: 7.602 7.602 10.790 Å, 90.00 90.00 90.00°
Space group I4/mmm (No. 139)
Symmetry-distinct sites (fractional):
1 Cs 0.000 0.500 0.250
2 Zr 0.000 0.000 0.000
3 Tc 0.000 0.000 0.500
4 Br 0.000 0.000 0.253
5 Br 0.247 0.247 0.500

Energy relative to the elements, uncorrected   -9.263 eV/f.u.
Electronic total energy   -3.9922 eV per atom

Entry 15:
## Cs2TeBr (GGA-PBE)

Data for a relaxed Cs2TeBr crystal.

Cell: 9.792 9.792 10.203 Å, 90.00 90.00 90.00°
Space group I-42d (No. 122)
Symmetry-distinct sites (fractional):
1 Cs 0.222 0.750 0.125
2 Te 0.000 0.000 0.500
3 Br 0.000 0.000 0.000

Energy relative to the elements, uncorrected   -4.099 eV/f.u.
Electronic total energy   -2.6551 eV per atom

Entry 16:
## Cs3TeBr7 (GGA-PBE)

Data for a relaxed Cs3TeBr7 crystal.

Cell: 10.125 10.877 9.158 Å, 90.00 103.31 90.00°
Space group Cm (No. 8)
Symmetry-distinct sites (fractional):
1 Cs 0.000 0.000 0.000
2 Cs 0.023 0.271 0.552
3 Te 0.473 0.000 0.053
4 Br 0.127 0.500 0.853
5 Br 0.133 0.318 0.201
6 Br 0.311 0.176 0.880
7 Br 0.322 0.000 0.289
8 Br 0.337 0.500 0.607

Energy relative to the elements, uncorrected   -12.697 eV/f.u.
Electronic total energy   -2.7372 eV per atom

Entry 17:
## Cs3TeBr (GGA-PBE)

Data for a relaxed Cs3TeBr crystal.

Cell: 6.283 18.091 19.650 Å, 90.00 90.00 90.00°
Space group Imma (No. 74)
Symmetry-distinct sites (fractional):
1 Cs 0.000 0.112 0.173
2 Cs 0.000 0.120 0.816
3 Cs 0.000 0.132 0.510
4 Te 0.000 0.010 0.352
5 Br 0.000 0.250 0.029
6 Br 0.000 0.250 0.667

Energy relative to the elements, uncorrected   -6.340 eV/f.u.
Electronic total energy   -2.7431 eV per atom

Entry 18:
## Cs6TeBr12 (GGA-PBE)

Data for a relaxed Cs6TeBr12 crystal.

Cell: 15.0617 15.0617 14.8652 Å, 90.00 90.00 120.00°
Space group R-3 (No. 148, hexagonal axes)
Symmetry-distinct sites (fractional):
1 Cs 0.0643 0.4780 0.3140
2 Te 0.0000 0.0000 0.0000
3 Br 0.0430 0.1667 0.8945
4 Br 0.0755 0.4853 0.0681

Energy relative to the elements, uncorrected   -22.283 eV/f.u.
Electronic total energy   -2.6642 eV per atom

Entry 19:
## Cs2TeBr (GGA-PBE)

Data for a relaxed Cs2TeBr crystal.

Cell: 4.211 4.211 9.821 Å, 90.00 90.00 90.00°
Space group P4/mmm (No. 123)
Symmetry-distinct sites (fractional):
1 Cs 0.000 0.000 0.226
2 Te 0.500 0.500 0.500
3 Br 0.500 0.500 0.000

Energy relative to the elements, uncorrected   -4.699 eV/f.u.
Electronic total energy   -2.8051 eV per atom

Entry 20:
## CsTe2Br (GGA-PBE)

Data for a relaxed CsTe2Br crystal.

Cell: 4.0390 4.0390 33.9964 Å, 90.00 90.00 120.00°
Space group R-3m (No. 166, hexagonal axes)
Symmetry-distinct sites (fractional):
1 Cs 0.0000 0.0000 0.0000
2 Te 0.0000 0.0000 0.4198
3 Br 0.0000 0.0000 0.5000

Energy relative to the elements, uncorrected   -0.122 eV/f.u.
Electronic total energy   -2.2330 eV per atom

Entry 21:
## CsTeBr (GGA-PBE)

Data for a relaxed CsTeBr crystal.

Cell: 4.779 5.363 11.895 Å, 93.43 90.42 90.00°
Space group P-1 (No. 2)
Symmetry-distinct sites (fractional):
1 Cs 0.247 0.229 0.342
2 Te 0.249 0.115 0.968
3 Br 0.253 0.271 0.650

Energy relative to the elements, uncorrected   -3.153 eV/f.u.
Electronic total energy   -2.9404 eV per atom

Entry 22:
## Cs2TeBr (GGA-PBE)

Data for a relaxed Cs2TeBr crystal.

Cell: 5.482 28.059 5.679 Å, 90.00 90.00 90.00°
Space group Cmcm (No. 63)
Symmetry-distinct sites (fractional):
1 Cs 0.000 0.064 0.250
2 Cs 0.000 0.318 0.250
3 Te 0.000 0.480 0.250
4 Br 0.000 0.191 0.250

Energy relative to the elements, uncorrected   -5.115 eV/f.u.
Electronic total energy   -2.9091 eV per atom

Entry 23:
## CsTe2Br4 (GGA-PBE)

Data for a relaxed CsTe2Br4 crystal.

Cell: 10.362 15.883 16.776 Å, 90.00 90.00 90.00°
Space group F222 (No. 22)
Symmetry-distinct sites (fractional):
1 Cs 0.000 0.000 0.000
2 Cs 0.250 0.250 0.250
3 Te 0.123 0.063 0.718
4 Br 0.056 0.164 0.842
5 Br 0.181 0.062 0.388

Energy relative to the elements, uncorrected   -4.637 eV/f.u.
Electronic total energy   -2.6379 eV per atom